(1)
A relaxed NdBeSnN3 crystal. Source: Alexandria, functional PBE-GGA.

## Properties
The density of states at the Fermi level comes out at 0.0 states/eV/cell. The total DFT energy (no corrections) comes out at -6.8442 eV/atom. For the formation energy (no corrections), the calculation gives -0.599 eV per atom.

Cell: 3.2787 6.9381 6.9391 Å, 104.05 90.00 90.00°
Closest atoms and distances in Å follow each position.
Fractional positions:
Be: 0.7500 0.9236 0.4034  4 N 1.71-1.89
Be: 0.2500 0.0764 0.5966  4 N 1.71-1.89
N: 0.2500 0.8282 0.4810  3 Be 1.71-1.89
N: 0.7500 0.8847 0.1503  1 Be 1.71
N: 0.7500 0.4420 0.1651  3 Sn 2.24
N: 0.2500 0.1153 0.8497  1 Be 1.71
N: 0.7500 0.1718 0.5190  3 Be 1.71-1.89
N: 0.2500 0.5580 0.8349  3 Sn 2.24
Sn: 0.7500 0.3374 0.8339  6 N 2.21-2.27
Sn: 0.2500 0.6626 0.1661  6 N 2.21-2.27
Nd: 0.2500 0.1907 0.2290  7 N 2.51-2.63
Nd: 0.7500 0.8093 0.7710  7 N 2.51-2.63

(2)
A relaxed AcLa2SbN4 crystal. Source: Alexandria, functional PBE-GGA.

## Properties
The density of states at the Fermi level comes out at 6.2 states/eV/cell. The total DFT energy (no corrections) comes out at -7.1265 eV/atom. For the formation energy (no corrections), the calculation gives -0.703 eV per atom.

Cell: 3.9344 6.4483 12.4733 Å, 90.00 90.00 107.76°
Closest atoms and distances in Å follow each position.
Fractional positions:
N: 0.2801 0.5602 0.3691  1 Sb 2.09
N: 0.7199 0.4398 0.8691  1 Sb 2.09
N: 0.4165 0.8330 0.7500  2 Sb 2.18
N: 0.0000 0.0000 0.5000  4 La 2.57
N: 0.5835 0.1670 0.2500  2 Sb 2.18
N: 0.0000 0.0000 0.0000  4 La 2.57
N: 0.7199 0.4398 0.6309  1 Sb 2.09
N: 0.2801 0.5602 0.1309  1 Sb 2.09
La: 0.6285 0.2571 0.4601  4 N 2.41-2.68
La: 0.6285 0.2571 0.0399  4 N 2.41-2.68
La: 0.3715 0.7429 0.9601  4 N 2.41-2.68
La: 0.3715 0.7429 0.5399  4 N 2.41-2.68
Sb: 0.8398 0.6796 0.7500  4 N 2.09-2.18
Sb: 0.1602 0.3204 0.2500  4 N 2.09-2.18
Ac: 0.1029 0.2059 0.7500  6 N 2.85-3.02
Ac: 0.8971 0.7941 0.2500  6 N 2.85-3.02

(3)
A relaxed YTiSb2 crystal. Source: Alexandria, functional PBE-GGA.

## Properties
The density of states at the Fermi level comes out at 6.9 states/eV/cell. The total DFT energy (no corrections) comes out at -5.8219 eV/atom. For the formation energy (no corrections), the calculation gives -0.171 eV per atom.

Cell: 6.6536 6.6536 8.0304 Å, 65.53 65.53 90.00°
Closest atoms and distances in Å follow each position.
Fractional positions:
Sb: 0.1646 0.6250 0.2500  2 Ti 2.72, 2 Y 3.02
Sb: 0.5854 0.1250 0.2500  2 Ti 2.72, 2 Y 3.02
Sb: 0.3750 0.4146 0.7500  2 Ti 2.72, 2 Y 3.02
Sb: 0.8750 0.8354 0.7500  2 Ti 2.72, 2 Y 3.02
Y: 0.7500 0.2500 0.5000  4 Sb 3.02
Y: 0.0000 0.0000 0.0000  4 Sb 3.02
Ti: 0.5000 0.5000 0.0000  4 Sb 2.72
Ti: 0.2500 0.7500 0.5000  4 Sb 2.72

(4)
A relaxed BeAsC2 crystal. Source: Alexandria, functional PBE-GGA.

## Properties
The density of states at the Fermi level comes out at 1.2 states/eV/cell. The total DFT energy (no corrections) comes out at -4.5490 eV/atom.

Cell: 3.7960 3.7960 3.7960 Å, 60.00 60.00 60.00°
Closest atoms and distances in Å follow each position.
Fractional positions:
C: 0.2500 0.2500 0.2500  4 As 2.32, 4 Be 2.32
C: 0.7500 0.7500 0.7500  4 As 2.32, 4 Be 2.32
As: 0.5000 0.5000 0.5000  8 C 2.32
Be: 0.0000 0.0000 0.0000  8 C 2.32

(5)
A relaxed BaHgO3 crystal. Source: Alexandria, functional PBE-GGA.

## Properties
The density of states at the Fermi level comes out at 2.1 states/eV/cell. The total DFT energy (no corrections) comes out at -4.2045 eV/atom. For the formation energy (no corrections), the calculation gives -0.785 eV per atom.

Cell: 4.1545 4.1545 7.0562 Å, 107.12 107.12 90.00°
Closest atoms and distances in Å follow each position.
Fractional positions:
Hg: 0.7053 0.7053 0.4106  4 O 2.11
O: 0.1747 0.6747 0.3495  2 Hg 2.11
O: 0.6747 0.1747 0.3495  2 Hg 2.11
O: 0.5016 0.5016 0.0032  1 Hg 2.61
Ba: 0.0339 0.0339 0.0677  8 O 2.75-2.97

(6)
A relaxed SrY2Cd crystal. Source: Alexandria, functional PBE-GGA.

## Properties
The density of states at the Fermi level comes out at 4.5 states/eV/cell. The total DFT energy (no corrections) comes out at -3.8356 eV/atom.

Cell: 4.1947 5.5580 5.5499 Å, 90.00 90.00 90.00°
Closest atoms and distances in Å follow each position.
Fractional positions:
Sr: 0.0000 0.5000 0.5000  4 Y 3.48, 4 Cd 3.48
Y: 0.0000 0.0000 0.0000  4 Cd 3.48, 4 Y 3.48
Y: 0.5000 0.5000 0.0000  4 Sr 3.48, 4 Y 3.48
Cd: 0.5000 0.0000 0.5000  4 Y 3.48, 4 Sr 3.48